(1)
Here is Tb4HgPd7 after structural relaxation from the Alexandria database. Energies are from PBE.

## Properties
ρ   10192 kg/m3
Total magnetization   0.000 μB per atom
SG   C2/m
Uncorrected energy   -0.3841 Ry per atom

a b c (Å): 5.261 9.475 5.990
angles (deg): 81.55 63.95 73.88
Atoms (fractional coordinates):
Pd 0.924 0.313 0.839
Pd 0.790 0.903 0.517
Pd 0.368 0.520 0.744
Pd 0.076 0.687 0.161
Pd 0.210 0.097 0.483
Pd 0.632 0.480 0.256
Pd 0.500 0.000 0.000
Tb 0.207 0.369 0.216
Tb 0.793 0.631 0.784
Tb 0.596 0.210 0.597
Tb 0.404 0.790 0.403
Hg 0.000 0.000 0.000

(2)
Here is MgPd3Au4 after structural relaxation from the Alexandria database. Energies are from PBE.

## Properties
ρ   13563 kg/m3
Total magnetization   0.000 μB per atom
SG   C2/m
Uncorrected energy   -0.2911 Ry per atom

a b c (Å): 2.904 10.392 26.131
angles (deg): 169.38 93.18 90.00
Atoms (fractional coordinates):
Pd 0.000 0.500 0.000
Pd 0.739 0.331 0.478
Pd 0.261 0.669 0.522
Au 0.006 0.796 0.012
Au 0.267 0.228 0.533
Au 0.733 0.772 0.467
Au 0.994 0.204 0.988
Mg 0.500 0.000 0.000

(3)
Here is Ac2PrCo after structural relaxation from the Alexandria database. Energies are from PBE.

## Properties
ρ   7545 kg/m3
Total magnetization   0.000 μB per atom
SG   Immm
Uncorrected energy   -0.3703 Ry per atom

a b c (Å): 4.216 5.592 7.036
angles (deg): 113.40 107.41 90.00
Atoms (fractional coordinates):
Ac 0.842 0.850 0.682
Ac 0.158 0.168 0.318
Co 0.500 0.009 0.000
Pr 0.500 0.509 0.000

(4)
Here is KMnMo2 after structural relaxation from the Alexandria database. Energies are from PBE.

## Properties
ρ   6424 kg/m3
Total magnetization   0.789 μB per atom
SG   Cmmm
Uncorrected energy   -0.4875 Ry per atom

a b c (Å): 5.861 5.861 2.632
angles (deg): 90.00 90.00 125.14
Atoms (fractional coordinates):
Mn 0.000 0.500 0.500
Mo 0.500 0.500 0.000
Mo 0.000 0.000 0.000
K 0.500 0.000 0.500

(5)
Here is CoSiNi after structural relaxation from the Alexandria database. Energies are from PBE.

## Properties
ρ   6556 kg/m3
Total magnetization   0.000 μB per atom
SG   F-43m
Uncorrected energy   -0.4744 Ry per atom

a b c (Å): 3.737 3.737 3.737
angles (deg): 60.00 60.00 60.00
Atoms (fractional coordinates):
Ni 0.500 0.500 0.500
Co 0.000 0.000 0.000
Si 0.750 0.750 0.750

(6)
Here is Ti8IrRh2 after structural relaxation from the Alexandria database. Energies are from PBE.

## Properties
ρ   7192 kg/m3
Total magnetization   0.000 μB per atom
SG   C2/m
Uncorrected energy   -0.6106 Ry per atom

a b c (Å): 4.394 6.130 7.485
angles (deg): 109.72 107.07 90.00
Atoms (fractional coordinates):
Ti 0.592 0.446 0.183
Ti 0.178 0.267 0.357
Ti 0.333 0.064 0.666
Ti 0.667 0.936 0.334
Ti 0.023 0.754 0.045
Ti 0.408 0.554 0.817
Ti 0.822 0.733 0.643
Ti 0.977 0.246 0.955
Rh 0.809 0.320 0.618
Rh 0.191 0.680 0.382
Ir 0.500 0.000 0.000

(7)
Here is PmNdPt2 after structural relaxation from the Alexandria database. Energies are from PBE.

## Properties
ρ   10754 kg/m3
Total magnetization   0.000 μB per atom
SG   R3m
Uncorrected energy   -0.4709 Ry per atom

a b c (Å): 4.133 4.133 7.484
angles (deg): 73.97 73.97 60.00
Atoms (fractional coordinates):
Nd 0.670 0.670 0.991
Pm 0.497 0.497 0.508
Pt 0.248 0.248 0.257
Pt 0.085 0.085 0.745

(8)
Here is Dy2ErBi3 after structural relaxation from the Alexandria database. Energies are from PBE.

## Properties
ρ   9857 kg/m3
Total magnetization   0.000 μB per atom
SG   Immm
Uncorrected energy   -0.3733 Ry per atom

a b c (Å): 4.464 6.308 7.730
angles (deg): 114.08 106.79 90.00
Atoms (fractional coordinates):
Er 0.500 0.500 0.500
Bi 0.835 0.335 0.169
Bi 0.500 0.000 0.500
Bi 0.165 0.665 0.831
Dy 0.833 0.833 0.166
Dy 0.167 0.167 0.834